First-principles (PBE) data for Sm2HoThSe5 after structural relaxation, as listed in the Alexandria database.

a b c (Å): 5.105 5.105 10.960
angles (deg): 90.00 90.00 90.00
Fractional positions:
Sm (0.500, 0.500, 0.337)
Sm (0.500, 0.500, 0.663)
Ho (0.000, 0.000, 0.500)
Th (0.000, 0.000, 0.000)
Se (0.000, 0.500, 0.500)
Se (0.500, 0.000, 0.500)
Se (0.000, 0.000, 0.751)
Se (0.000, 0.000, 0.249)
Se (0.500, 0.500, 0.000)

For the formation energy (no corrections), the calculation gives -10.1 eV per formula unit. As for the space group: P4/mmm, No. 123. For the density of states at the Fermi level, the calculation gives 8.9 states/eV per cell.